[1]
Here is a relaxed structure of CaPt2Rh2 from the Alexandria database. Energies are from GGA-PBE.

Structure (POSCAR):
```
CaPt2Rh2
1.0
-2.225 -2.361 2.449
3.222 -0.524 2.422
-1.026 3.126 5.454
Pt Ca Rh
2 1 2
Direct
0.250 0.750 0.500
0.750 0.250 0.500
0.000 0.000 0.000
0.603 0.603 0.795
0.397 0.397 0.205
```

Results
- ρ (g/cm3) = 11.246
- total magnetic moment (μB/atom) = 0.00
- final energy (eV per atom) = -5.886
- formation energy from the elements (eV/atom) = -0.129
- symmetry = No. 139
- energy above the most stable polymorph in this dataset (meV per atom) = 135.4

=====

[2]
Here is a relaxed structure of Ca2PtRh from the Alexandria database. Energies are from GGA-PBE.

Structure (POSCAR):
```
Ca2PtRh
1.0
-3.306 -1.889 -2.987
1.304 -3.335 -3.256
-1.409 -4.597 0.547
Ca Rh Pt
2 1 1
Direct
0.250 0.250 0.250
0.000 0.000 0.000
0.750 0.750 0.750
0.500 0.500 0.500
```

Results
- ρ (g/cm3) = 7.834
- total magnetic moment (μB/atom) = 0.00
- final energy (eV per atom) = -4.677
- formation energy from the elements (eV/atom) = -0.328
- symmetry = No. 216

=====

[3]
Here is a relaxed structure of CaPt2Rh2 from the Alexandria database. Energies are from GGA-PBE.

Structure (POSCAR):
```
CaPt2Rh2
1.0
7.767 0.000 0.000
0.000 7.767 0.000
0.000 0.000 2.845
Pt Ca Rh
4 2 4
Direct
0.180 0.680 0.500
0.820 0.320 0.500
0.320 0.180 0.500
0.680 0.820 0.500
0.000 0.000 0.000
0.500 0.500 0.000
0.880 0.620 0.000
0.380 0.880 0.000
0.120 0.380 0.000
0.620 0.120 0.000
```

Results
- ρ (g/cm3) = 12.308
- total magnetic moment (μB/atom) = 0.00
- final energy (eV per atom) = -6.021
- formation energy from the elements (eV/atom) = -0.264
- symmetry = No. 127
- energy above the most stable polymorph in this dataset (meV per atom) = 0.0